# 1
Pr3Te3H2 | PBE | optimized geometry

```
data_Pr3Te3H2
_cell_length_a 4.168
_cell_length_b 11.582
_cell_length_c 16.639
_cell_angle_alpha 90.00
_cell_angle_beta 90.00
_cell_angle_gamma 90.00
_symmetry_space_group_name_H-M 'C m c m'
_symmetry_Int_Tables_number 63
_symmetry_space_group_name_Hall '-C 2c 2'
loop_
_atom_site_label
_atom_site_type_symbol
_atom_site_fract_x
_atom_site_fract_y
_atom_site_fract_z
_atom_site_occupancy
Pr1 Pr 0.000 0.131 0.250 1
Pr2 Pr 0.000 0.148 0.561 1
Te1 Te 0.000 0.158 0.750 1
Te2 Te 0.000 0.433 0.603 1
H1 H 0.000 0.269 0.052 1
```

# 2
Pr3TeH | PBE | optimized geometry

```
data_Pr3TeH
_cell_length_a 7.815
_cell_length_b 4.013
_cell_length_c 8.792
_cell_angle_alpha 90.00
_cell_angle_beta 95.44
_cell_angle_gamma 90.00
_symmetry_space_group_name_H-M 'P 1 21/m 1'
_symmetry_Int_Tables_number 11
_symmetry_space_group_name_Hall '-P 2yb'
loop_
_atom_site_label
_atom_site_type_symbol
_atom_site_fract_x
_atom_site_fract_y
_atom_site_fract_z
_atom_site_occupancy
Pr1 Pr 0.065 0.250 0.333 1
Pr2 Pr 0.271 0.250 0.942 1
Pr3 Pr 0.367 0.750 0.611 1
Te1 Te 0.361 0.750 0.221 1
H1 H 0.150 0.250 0.632 1
```

Calculated values
energy above the most stable polymorph in this dataset	0.0000	eV per atom

# 3
Pr2TeH | PBE | optimized geometry

```
data_Pr2TeH
_cell_length_a 4.0151
_cell_length_b 4.0151
_cell_length_c 21.8557
_cell_angle_alpha 90.00
_cell_angle_beta 90.00
_cell_angle_gamma 120.00
_symmetry_space_group_name_H-M 'R -3 m'
_symmetry_Int_Tables_number 166
_symmetry_space_group_name_Hall '-R 3 2"'
loop_
_atom_site_label
_atom_site_type_symbol
_atom_site_fract_x
_atom_site_fract_y
_atom_site_fract_z
_atom_site_occupancy
Pr1 Pr 0.0000 0.0000 0.2328 1
Te1 Te 0.0000 0.0000 0.0000 1
H1 H 0.0000 0.0000 0.5000 1
```

Calculated values
energy above the most stable polymorph in this dataset	0.1053	eV per atom

# 4
Pr2TeH | PBE | optimized geometry

```
data_Pr2TeH
_cell_length_a 8.185
_cell_length_b 6.456
_cell_length_c 7.827
_cell_angle_alpha 90.00
_cell_angle_beta 100.98
_cell_angle_gamma 90.00
_symmetry_space_group_name_H-M 'P 1 21/c 1'
_symmetry_Int_Tables_number 14
_symmetry_space_group_name_Hall '-P 2ybc'
loop_
_atom_site_label
_atom_site_type_symbol
_atom_site_fract_x
_atom_site_fract_y
_atom_site_fract_z
_atom_site_occupancy
Pr1 Pr 0.042 0.144 0.322 1
Pr2 Pr 0.330 0.659 0.521 1
Te1 Te 0.337 0.135 0.667 1
H1 H 0.202 0.656 0.767 1
```

Calculated values
energy above the most stable polymorph in this dataset	0.0000	eV per atom

# 5
Pr5Te4H | PBE | optimized geometry

```
data_Pr5Te4H
_cell_length_a 4.410
_cell_length_b 4.410
_cell_length_c 31.265
_cell_angle_alpha 90.00
_cell_angle_beta 90.00
_cell_angle_gamma 90.00
_symmetry_space_group_name_H-M 'I 4/m m m'
_symmetry_Int_Tables_number 139
_symmetry_space_group_name_Hall '-I 4 2'
loop_
_atom_site_label
_atom_site_type_symbol
_atom_site_fract_x
_atom_site_fract_y
_atom_site_fract_z
_atom_site_occupancy
Pr1 Pr 0.000 0.000 0.000 1
Pr2 Pr 0.000 0.000 0.208 1
Pr3 Pr 0.000 0.000 0.423 1
Te1 Te 0.000 0.000 0.101 1
Te2 Te 0.000 0.000 0.311 1
H1 H 0.000 0.000 0.500 1
```

# 6
Pr2TeH4 | PBE | optimized geometry

```
data_Pr2TeH4
_cell_length_a 4.0387
_cell_length_b 4.0387
_cell_length_c 23.5195
_cell_angle_alpha 90.00
_cell_angle_beta 90.00
_cell_angle_gamma 120.00
_symmetry_space_group_name_H-M 'R -3 m'
_symmetry_Int_Tables_number 166
_symmetry_space_group_name_Hall '-R 3 2"'
loop_
_atom_site_label
_atom_site_type_symbol
_atom_site_fract_x
_atom_site_fract_y
_atom_site_fract_z
_atom_site_occupancy
Pr1 Pr 0.0000 0.0000 0.2380 1
Te1 Te 0.0000 0.0000 0.0000 1
H1 H 0.0000 0.0000 0.1370 1
H2 H 0.0000 0.0000 0.4350 1
```

# 7
Pr2Y4Te3H2 | PBE | optimized geometry

```
data_Pr2Y4Te3H2
_cell_length_a 4.529
_cell_length_b 4.529
_cell_length_c 26.530
_cell_angle_alpha 90.00
_cell_angle_beta 90.00
_cell_angle_gamma 90.00
_symmetry_space_group_name_H-M 'I 4/m m m'
_symmetry_Int_Tables_number 139
_symmetry_space_group_name_Hall '-I 4 2'
loop_
_atom_site_label
_atom_site_type_symbol
_atom_site_fract_x
_atom_site_fract_y
_atom_site_fract_z
_atom_site_occupancy
Pr1 Pr 0.000 0.000 0.206 1
Y1 Y 0.000 0.500 0.083 1
Te1 Te 0.000 0.000 0.331 1
Te2 Te 0.000 0.000 0.500 1
H1 H 0.000 0.000 0.069 1
```

# 8
Pr2ThH | PBE | optimized geometry

```
data_Pr2ThH
_cell_length_a 3.5142
_cell_length_b 3.5142
_cell_length_c 29.7108
_cell_angle_alpha 90.00
_cell_angle_beta 90.00
_cell_angle_gamma 120.00
_symmetry_space_group_name_H-M 'R -3 m'
_symmetry_Int_Tables_number 166
_symmetry_space_group_name_Hall '-R 3 2"'
loop_
_atom_site_label
_atom_site_type_symbol
_atom_site_fract_x
_atom_site_fract_y
_atom_site_fract_z
_atom_site_occupancy
Pr1 Pr 0.0000 0.0000 0.1155 1
Th1 Th 0.0000 0.0000 0.0000 1
H1 H 0.0000 0.0000 0.5000 1
```

Calculated values
energy above the most stable polymorph in this dataset	0.0000	eV per atom

# 9
Pr2ThH6 | PBE | optimized geometry

```
data_Pr2ThH6
_cell_length_a 3.897
_cell_length_b 3.897
_cell_length_c 16.479
_cell_angle_alpha 90.00
_cell_angle_beta 90.00
_cell_angle_gamma 90.00
_symmetry_space_group_name_H-M 'I 4/m m m'
_symmetry_Int_Tables_number 139
_symmetry_space_group_name_Hall '-I 4 2'
loop_
_atom_site_label
_atom_site_type_symbol
_atom_site_fract_x
_atom_site_fract_y
_atom_site_fract_z
_atom_site_occupancy
Pr1 Pr 0.000 0.000 0.167 1
Th1 Th 0.000 0.000 0.500 1
H1 H 0.000 0.500 0.081 1
H2 H 0.000 0.500 0.250 1
```

# 10
PrThH | PBE | optimized geometry

```
data_PrThH
_cell_length_a 3.6683
_cell_length_b 3.6683
_cell_length_c 6.0255
_cell_angle_alpha 90.00
_cell_angle_beta 90.00
_cell_angle_gamma 120.00
_symmetry_space_group_name_H-M 'P 3 m 1'
_symmetry_Int_Tables_number 156
_symmetry_space_group_name_Hall 'P 3 -2"'
loop_
_atom_site_label
_atom_site_type_symbol
_atom_site_fract_x
_atom_site_fract_y
_atom_site_fract_z
_atom_site_occupancy
Pr1 Pr 0.0000 0.0000 0.0000 1
Th1 Th 0.6667 0.3333 0.5015 1
H1 H 0.3333 0.6667 0.7386 1
```

Calculated values
energy above the most stable polymorph in this dataset	0.0103	eV per atom

# 11
PrThH | PBE | optimized geometry

```
data_PrThH
_cell_length_a 3.607
_cell_length_b 6.291
_cell_length_c 12.159
_cell_angle_alpha 90.00
_cell_angle_beta 90.00
_cell_angle_gamma 90.00
_symmetry_space_group_name_H-M 'P 21 21 21'
_symmetry_Int_Tables_number 19
_symmetry_space_group_name_Hall 'P 2ac 2ab'
loop_
_atom_site_label
_atom_site_type_symbol
_atom_site_fract_x
_atom_site_fract_y
_atom_site_fract_z
_atom_site_occupancy
Pr1 Pr 0.249 0.000 0.004 1
Th1 Th 0.250 0.336 0.748 1
H1 H 0.249 0.338 0.128 1
```

Calculated values
energy above the most stable polymorph in this dataset	0.0000	eV per atom

# 12
PrThH2 | PBE | optimized geometry

```
data_PrThH2
_cell_length_a 3.5372
_cell_length_b 3.5372
_cell_length_c 19.2540
_cell_angle_alpha 90.00
_cell_angle_beta 90.00
_cell_angle_gamma 120.00
_symmetry_space_group_name_H-M 'R 3 m'
_symmetry_Int_Tables_number 160
_symmetry_space_group_name_Hall 'R 3 -2"'
loop_
_atom_site_label
_atom_site_type_symbol
_atom_site_fract_x
_atom_site_fract_y
_atom_site_fract_z
_atom_site_occupancy
Pr1 Pr 0.0000 0.0000 0.0000 1
Th1 Th 0.0000 0.0000 0.8267 1
H1 H 0.0000 0.0000 0.4132 1
H2 H 0.0000 0.0000 0.5821 1
```

Calculated values
energy above the most stable polymorph in this dataset	0.1123	eV per atom

# 13
Pr2ThH | PBE | optimized geometry

```
data_Pr2ThH
_cell_length_a 3.447
_cell_length_b 3.447
_cell_length_c 8.687
_cell_angle_alpha 90.00
_cell_angle_beta 90.00
_cell_angle_gamma 90.00
_symmetry_space_group_name_H-M 'P 4/m m m'
_symmetry_Int_Tables_number 123
_symmetry_space_group_name_Hall '-P 4 2'
loop_
_atom_site_label
_atom_site_type_symbol
_atom_site_fract_x
_atom_site_fract_y
_atom_site_fract_z
_atom_site_occupancy
Pr1 Pr 0.000 0.000 0.194 1
Th1 Th 0.500 0.500 0.500 1
H1 H 0.500 0.500 0.000 1
```

Calculated values
energy above the most stable polymorph in this dataset	0.0720	eV per atom

# 14
PrTh3H | PBE | optimized geometry

```
data_PrTh3H
_cell_length_a 5.121
_cell_length_b 5.121
_cell_length_c 5.121
_cell_angle_alpha 90.00
_cell_angle_beta 90.00
_cell_angle_gamma 90.00
_symmetry_space_group_name_H-M 'P m -3 m'
_symmetry_Int_Tables_number 221
_symmetry_space_group_name_Hall '-P 4 2 3'
loop_
_atom_site_label
_atom_site_type_symbol
_atom_site_fract_x
_atom_site_fract_y
_atom_site_fract_z
_atom_site_occupancy
Pr1 Pr 0.000 0.000 0.000 1
Th1 Th 0.000 0.500 0.500 1
H1 H 0.500 0.500 0.500 1
```

# 15
PrThH2 | PBE | optimized geometry

```
data_PrThH2
_cell_length_a 3.6525
_cell_length_b 3.6525
_cell_length_c 18.0484
_cell_angle_alpha 90.00
_cell_angle_beta 90.00
_cell_angle_gamma 120.00
_symmetry_space_group_name_H-M 'R -3 m'
_symmetry_Int_Tables_number 166
_symmetry_space_group_name_Hall '-R 3 2"'
loop_
_atom_site_label
_atom_site_type_symbol
_atom_site_fract_x
_atom_site_fract_y
_atom_site_fract_z
_atom_site_occupancy
Pr1 Pr 0.0000 0.0000 0.0000 1
Th1 Th 0.0000 0.0000 0.5000 1
H1 H 0.0000 0.0000 0.2461 1
```

Calculated values
energy above the most stable polymorph in this dataset	0.0000	eV per atom

# 16
PrThH4 | PBE | optimized geometry

```
data_PrThH4
_cell_length_a 3.901
_cell_length_b 3.901
_cell_length_c 5.444
_cell_angle_alpha 90.00
_cell_angle_beta 90.00
_cell_angle_gamma 90.00
_symmetry_space_group_name_H-M 'P 4/m m m'
_symmetry_Int_Tables_number 123
_symmetry_space_group_name_Hall '-P 4 2'
loop_
_atom_site_label
_atom_site_type_symbol
_atom_site_fract_x
_atom_site_fract_y
_atom_site_fract_z
_atom_site_occupancy
Pr1 Pr 0.000 0.000 0.000 1
Th1 Th 0.500 0.500 0.500 1
H1 H 0.000 0.500 0.259 1
```

# 17
Pr2ThH8 | PBE | optimized geometry

```
data_Pr2ThH8
_cell_length_a 3.735
_cell_length_b 5.822
_cell_length_c 11.254
_cell_angle_alpha 90.00
_cell_angle_beta 90.00
_cell_angle_gamma 90.00
_symmetry_space_group_name_H-M 'I m m m'
_symmetry_Int_Tables_number 71
_symmetry_space_group_name_Hall '-I 2 2'
loop_
_atom_site_label
_atom_site_type_symbol
_atom_site_fract_x
_atom_site_fract_y
_atom_site_fract_z
_atom_site_occupancy
Pr1 Pr 0.000 0.000 0.167 1
Th1 Th 0.000 0.000 0.500 1
H1 H 0.000 0.241 0.000 1
H2 H 0.000 0.253 0.339 1
H3 H 0.000 0.500 0.151 1
```

# 18
Pr3ThH | PBE | optimized geometry

```
data_Pr3ThH
_cell_length_a 5.180
_cell_length_b 5.180
_cell_length_c 5.180
_cell_angle_alpha 90.00
_cell_angle_beta 90.00
_cell_angle_gamma 90.00
_symmetry_space_group_name_H-M 'P m -3 m'
_symmetry_Int_Tables_number 221
_symmetry_space_group_name_Hall '-P 4 2 3'
loop_
_atom_site_label
_atom_site_type_symbol
_atom_site_fract_x
_atom_site_fract_y
_atom_site_fract_z
_atom_site_occupancy
Pr1 Pr 0.000 0.000 0.500 1
Th1 Th 0.500 0.500 0.500 1
H1 H 0.000 0.000 0.000 1
```

# 19
PrTh2H | PBE | optimized geometry

```
data_PrTh2H
_cell_length_a 3.4837
_cell_length_b 3.4837
_cell_length_c 29.6968
_cell_angle_alpha 90.00
_cell_angle_beta 90.00
_cell_angle_gamma 120.00
_symmetry_space_group_name_H-M 'R -3 m'
_symmetry_Int_Tables_number 166
_symmetry_space_group_name_Hall '-R 3 2"'
loop_
_atom_site_label
_atom_site_type_symbol
_atom_site_fract_x
_atom_site_fract_y
_atom_site_fract_z
_atom_site_occupancy
Pr1 Pr 0.0000 0.0000 0.0000 1
Th1 Th 0.0000 0.0000 0.1141 1
H1 H 0.0000 0.0000 0.5000 1
```

# 20
Pr3Th5H12 | PBE | optimized geometry

```
data_Pr3Th5H12
_cell_length_a 13.656
_cell_length_b 13.656
_cell_length_c 13.656
_cell_angle_alpha 90.00
_cell_angle_beta 90.00
_cell_angle_gamma 90.00
_symmetry_space_group_name_H-M 'I a -3 d'
_symmetry_Int_Tables_number 230
_symmetry_space_group_name_Hall '-I 4bd 2c 3'
loop_
_atom_site_label
_atom_site_type_symbol
_atom_site_fract_x
_atom_site_fract_y
_atom_site_fract_z
_atom_site_occupancy
Pr1 Pr 0.000 0.250 0.125 1
Th1 Th 0.000 0.000 0.000 1
Th2 Th 0.000 0.250 0.375 1
H1 H 0.002 0.072 0.654 1
```

Magnetic moment across the listed records, respectively: 0.0; 0.0; 0.0; 0.0; 0.0; 0.0; 0.0; 0.0; 0.0; 0.0; 0.0; 0.0; 0.0; 0.0; 0.0; 0.0; 0.0; 0.0; 0.0; 0.0 μB/cell.
DFT total energy across the listed records, respectively: -39.734; -24.082; -19.212; -19.633; -51.378; -31.921; -60.215; -20.213; -42.468; -15.919; -15.949; -19.715; -19.925; -30.612; -20.164; -29.078; -49.696; -25.701; -22.712; -98.994 eV/f.u..